A plane-wave DFT calculation with PBE-GGA was carried out for a geometry-optimized TaBr structure.

The structure in POSCAR format:
```
TaBr
1.0
6.453 0.000 0.000
0.000 6.453 0.000
0.000 0.000 5.095
Ta Br
4 4
Direct
0.125 0.875 0.500
0.875 0.125 0.500
0.375 0.375 0.000
0.625 0.625 0.000
0.713 0.713 0.500
0.213 0.787 0.000
0.287 0.287 0.500
0.787 0.213 0.000
```

A plane-wave DFT calculation with PBE-GGA was carried out for a geometry-optimized Sn5Sb4S structure.

The structure in POSCAR format:
```
Sn5Sb4S
1.0
-4.077 1.394 0.266
-1.161 -3.741 1.817
5.529 7.031 12.879
Sn Sb S
5 4 1
Direct
0.703 0.703 0.407
0.297 0.297 0.593
0.500 0.500 0.000
0.094 0.094 0.187
0.906 0.906 0.813
0.803 0.803 0.607
0.600 0.600 0.200
0.400 0.400 0.800
0.197 0.197 0.393
0.000 0.000 0.000
```

A plane-wave DFT calculation with PBE-GGA was carried out for a geometry-optimized InSi2PtI structure.

The structure in POSCAR format:
```
InSi2PtI
1.0
-3.096 -1.166 3.317
4.463 -0.921 3.842
-0.239 4.480 1.352
Pt Si In I
1 2 1 1
Direct
0.000 0.000 0.000
0.500 0.000 0.000
0.000 0.000 0.500
0.000 0.500 0.000
0.500 0.500 0.500
```

A plane-wave DFT calculation with PBE-GGA was carried out for a geometry-optimized Pr4Y2Pb3O2 structure.

The structure in POSCAR format:
```
Pr4Y2Pb3O2
1.0
-0.960 0.496 4.744
-1.141 -4.723 0.263
13.378 -0.709 0.287
Pr Pb Y O
4 3 2 2
Direct
0.085 0.585 0.169
0.915 0.415 0.831
0.585 0.085 0.169
0.415 0.915 0.831
0.182 0.182 0.364
0.000 0.000 0.000
0.818 0.818 0.636
0.694 0.694 0.388
0.306 0.306 0.612
0.607 0.607 0.214
0.393 0.393 0.786
```

Number 1: E_form (uncorrected) 2.05 eV/f.u., total DFT energy (no corrections) -5.737 eV/atom. Number 2: E_form (uncorrected) -0.48 eV/f.u., total DFT energy (no corrections) -4.111 eV/atom. Number 3: E_form (uncorrected) 0.60 eV/f.u., total DFT energy (no corrections) -4.115 eV/atom. Number 4: E_form (uncorrected) -14.74 eV/f.u., total DFT energy (no corrections) -6.166 eV/atom.